Computed, not measured: a geometry-optimized CaGa2SbP structure at the PBE level of DFT.

DOS(E_F) (states/eV per atom): 0.7115
ΔE_f (raw) (meV per atom): 327.7
Total moment (μB/f.u.): 0.00

Structure (CIF):
```
data_CaGa2SbP
_cell_length_a 5.280
_cell_length_b 5.280
_cell_length_c 5.285
_cell_angle_alpha 90.00
_cell_angle_beta 90.00
_cell_angle_gamma 90.00
_symmetry_space_group_name_H-M 'P 4/m m m'
_symmetry_Int_Tables_number 123
_symmetry_space_group_name_Hall '-P 4 2'
loop_
_atom_site_label
_atom_site_fract_x
_atom_site_fract_y
_atom_site_fract_z
_atom_site_occupancy
Ca1 0.000 0.000 0.000 1
Ga1 0.000 0.500 0.500 1
Sb1 0.500 0.500 0.500 1
P1 0.500 0.500 0.000 1
```

=====

Computed, not measured: a geometry-optimized CaScGaP2 structure at the PBE level of DFT.

Energy of formation from the pure elements (eV per atom): 0.419
DOS(E_F) (states/eV per atom): 0.9648
Total moment (μB/f.u.): 0.89

Structure (CIF):
```
data_CaScGaP2
_cell_length_a 4.874
_cell_length_b 4.874
_cell_length_c 5.011
_cell_angle_alpha 90.00
_cell_angle_beta 90.00
_cell_angle_gamma 90.00
_symmetry_space_group_name_H-M 'P 4/m m m'
_symmetry_Int_Tables_number 123
_symmetry_space_group_name_Hall '-P 4 2'
loop_
_atom_site_label
_atom_site_fract_x
_atom_site_fract_y
_atom_site_fract_z
_atom_site_occupancy
Ca1 0.000 0.000 0.000 1
Sc1 0.500 0.500 0.000 1
Ga1 0.000 0.000 0.500 1
P1 0.000 0.500 0.500 1
```

=====

Computed, not measured: a geometry-optimized CaZnGaP2 structure at the PBE level of DFT.

Energy of formation from the pure elements (eV per atom): 0.084
DOS(E_F) (states/eV per atom): 0.8063
Total moment (μB/f.u.): 0.00

Structure (CIF):
```
data_CaZnGaP2
_cell_length_a 4.890
_cell_length_b 4.890
_cell_length_c 4.680
_cell_angle_alpha 90.00
_cell_angle_beta 90.00
_cell_angle_gamma 90.00
_symmetry_space_group_name_H-M 'P 4/m m m'
_symmetry_Int_Tables_number 123
_symmetry_space_group_name_Hall '-P 4 2'
loop_
_atom_site_label
_atom_site_fract_x
_atom_site_fract_y
_atom_site_fract_z
_atom_site_occupancy
Ca1 0.000 0.000 0.000 1
Zn1 0.500 0.500 0.000 1
Ga1 0.500 0.500 0.500 1
P1 0.000 0.500 0.500 1
```

=====

Computed, not measured: a geometry-optimized CaPaGa4 structure at the PBE level of DFT.

Energy of formation from the pure elements (eV per atom): -0.377
DOS(E_F) (states/eV per atom): 0.6942
Total moment (μB/f.u.): 0.00
ΔE to the lowest computed polymorph (eV/atom): 0.0000

Structure (CIF):
```
data_CaPaGa4
_cell_length_a 3.474
_cell_length_b 4.501
_cell_length_c 7.918
_cell_angle_alpha 90.00
_cell_angle_beta 90.00
_cell_angle_gamma 90.00
_symmetry_space_group_name_H-M 'P m m m'
_symmetry_Int_Tables_number 47
_symmetry_space_group_name_Hall '-P 2 2'
loop_
_atom_site_label
_atom_site_fract_x
_atom_site_fract_y
_atom_site_fract_z
_atom_site_occupancy
Ca1 0.000 0.000 0.000 1
Pa1 0.000 0.500 0.500 1
Ga1 0.500 0.000 0.336 1
Ga2 0.500 0.500 0.168 1
```

=====

Computed, not measured: a geometry-optimized CaPaGa2 structure at the PBE level of DFT.

Energy of formation from the pure elements (eV per atom): -0.203
DOS(E_F) (states/eV per atom): 0.9956
Total moment (μB/f.u.): 0.01
ΔE to the lowest computed polymorph (eV/atom): 0.1206

Structure (CIF):
```
data_CaPaGa2
_cell_length_a 7.169
_cell_length_b 7.169
_cell_length_c 7.169
_cell_angle_alpha 90.00
_cell_angle_beta 90.00
_cell_angle_gamma 90.00
_symmetry_space_group_name_H-M 'F m -3 m'
_symmetry_Int_Tables_number 225
_symmetry_space_group_name_Hall '-F 4 2 3'
loop_
_atom_site_label
_atom_site_fract_x
_atom_site_fract_y
_atom_site_fract_z
_atom_site_occupancy
Ca1 0.000 0.000 0.000 1
Pa1 0.000 0.000 0.500 1
Ga1 0.250 0.250 0.250 1
```

=====

Computed, not measured: a geometry-optimized CaPaGa4 structure at the PBE level of DFT.

Energy of formation from the pure elements (eV per atom): -0.253
DOS(E_F) (states/eV per atom): 1.0428
Total moment (μB/f.u.): 0.03
ΔE to the lowest computed polymorph (eV/atom): 0.1233

Structure (CIF):
```
data_CaPaGa4
_cell_length_a 7.843
_cell_length_b 7.843
_cell_length_c 7.843
_cell_angle_alpha 90.00
_cell_angle_beta 90.00
_cell_angle_gamma 90.00
_symmetry_space_group_name_H-M 'F -4 3 m'
_symmetry_Int_Tables_number 216
_symmetry_space_group_name_Hall 'F -4 2 3'
loop_
_atom_site_label
_atom_site_fract_x
_atom_site_fract_y
_atom_site_fract_z
_atom_site_occupancy
Ca1 0.000 0.000 0.000 1
Pa1 0.250 0.250 0.750 1
Ga1 0.124 0.124 0.376 1
```